# 1
In8SnPb2 | the Alexandria database | PBE | relaxed; energy of formation = 0.018 eV/atom; electronic total energy = -3.01 eV per atom
1.0
8.781 -2.536 0.000
8.781 2.536 0.000
-1.252 0.000 6.960
In Sn Pb
8 1 2
Cartesian
0.430 0.000 1.602
1.570 0.000 4.701
4.931 0.000 4.099
7.157 0.000 0.352
9.153 0.000 6.608
11.379 0.000 2.861
14.740 0.000 2.259
15.880 0.000 5.358
8.155 0.000 3.480
3.738 0.000 0.970
12.572 0.000 5.990

# 2
Ce6ZnSi3 | the Alexandria database | PBE | relaxed; E_form (uncorrected) = -258 meV per atom; electronic total energy = -5.57 eV per atom
1.0
7.405 0.000 0.000
0.000 8.045 0.000
-6.965 0.000 8.523
Ce Zn Si
12 2 6
Cartesian
-1.708 0.877 2.114
-5.190 3.146 6.375
1.117 5.464 0.666
-2.365 6.603 4.927
2.469 1.336 0.705
-1.013 2.686 4.966
1.454 5.359 3.557
-2.029 6.708 7.819
2.806 1.441 3.596
-0.677 2.581 7.858
5.631 4.899 2.148
2.149 7.168 6.410
0.220 0.000 4.262
3.703 4.022 0.000
0.000 0.000 0.000
-3.482 4.022 4.262
-3.073 1.101 6.468
0.409 2.922 2.207
0.031 5.123 6.317
3.514 6.944 2.055

# 3
Pr2Ni5As4 | the Alexandria database | PBE | relaxed; energy of formation = -0.612 eV/atom; electronic total energy = -5.80 eV per atom
1.0
0.000 4.927 6.802
2.789 0.000 6.802
2.789 4.927 0.000
Pr Ni As
2 5 4
Cartesian
2.789 4.927 1.938
2.789 4.927 11.666
1.394 2.463 0.000
1.394 2.463 3.401
1.394 2.463 6.802
2.789 4.927 6.802
4.183 7.390 10.203
2.789 3.392 5.042
2.789 3.392 8.562
2.789 6.461 5.042
2.789 6.461 8.562

# 4
CaCeSnN3 | the Alexandria database | PBE | relaxed; E_form (uncorrected) = -677 meV per atom; electronic total energy = -6.83 eV per atom
1.0
6.032 0.000 0.000
0.000 3.502 0.000
-1.684 0.000 8.668
Ca Ce Sn N
2 2 2 6
Cartesian
0.579 0.876 1.667
3.769 2.627 7.001
0.661 2.627 4.684
3.687 0.876 3.984
0.727 0.876 7.410
3.620 2.627 1.258
-0.819 0.876 5.799
0.045 2.627 8.526
2.233 2.627 2.928
2.115 0.876 5.739
4.303 0.876 0.142
5.167 2.627 2.869